A relaxed WI2F crystal, computed with GGA+U.

Results
DOS(E_F) = 1.22 states/eV/f.u.
E_tot = -3.07 eV/atom
Excess energy over the best structure of this formula in the dataset = 0.0000 eV/atom
Crystal system = cubic

Lattice parameters (Å, degrees): 7.110 7.110 7.110 90.00 90.00 90.00
Space group Fm-3m (No. 225)
Unique sites:
W 0.000 0.000 0.000 (multiplicity 4)
I 0.250 0.250 0.250 (multiplicity 8)
F 0.000 0.000 0.500 (multiplicity 4)